[1]
DFT (PBE) results for CsTeSN2 after structural relaxation.

Structure (extended XYZ):
```
5
Lattice="-3.439 3.115 -1.480 -1.025 -2.918 -3.762 -3.565 -2.539 2.940" Properties=species:S:1:pos:R:3 pbc="T T T"
Te -1.782 -1.269 1.470
Cs -4.014 -1.171 -1.151
N -1.719 1.558 -0.740
N -0.512 -1.459 -1.881
S 0.000 0.000 0.000
```

Values from the calculation:
DOS(E_F) ... 3.606 states/eV per cell
Energy relative to the elements, uncorrected ... 1.641 eV per atom
Energy relative to the lowest polymorph listed for this composition ... 0.000 eV/atom

***

[2]
DFT (PBE) results for CsTeSN2 after structural relaxation.

Structure (extended XYZ):
```
5
Lattice="4.374 0.000 0.000 0.000 4.374 0.000 0.000 0.000 6.903" Properties=species:S:1:pos:R:3 pbc="T T T"
Cs 0.000 0.000 0.000
Te 2.187 2.187 3.451
S 0.000 0.000 3.451
N 2.187 0.000 0.000
N 0.000 2.187 0.000
```

Values from the calculation:
DOS(E_F) ... 4.842 states/eV per cell
Energy relative to the elements, uncorrected ... 2.309 eV per atom
Energy relative to the lowest polymorph listed for this composition ... 0.669 eV/atom

***

[3]
DFT (PBE) results for CsTeS2N after structural relaxation.

Structure (extended XYZ):
```
5
Lattice="-2.336 -3.196 4.060 -3.690 -2.087 -3.765 2.753 -3.192 -0.929" Properties=species:S:1:pos:R:3 pbc="T T T"
Cs 0.000 0.000 0.000
N 1.377 -1.596 -0.464
S -1.845 -1.043 -1.883
S -1.168 -1.598 2.030
Te -1.636 -4.237 -0.317
```

Values from the calculation:
DOS(E_F) ... 9.172 states/eV per cell
Energy relative to the elements, uncorrected ... 1.961 eV per atom

***

[4]
DFT (PBE) results for CsTiS2N after structural relaxation.

Structure (extended XYZ):
```
5
Lattice="5.432 0.000 0.000 0.000 5.432 0.000 0.000 0.000 4.279" Properties=species:S:1:pos:R:3 pbc="T T T"
S 0.000 2.716 0.000
S 2.716 0.000 0.000
N 0.000 0.000 2.139
Cs 0.000 0.000 0.000
Ti 2.716 2.716 2.139
```

Values from the calculation:
DOS(E_F) ... 10.779 states/eV per cell
Energy relative to the elements, uncorrected ... 1.943 eV per atom

***

[5]
DFT (PBE) results for CsVS2N after structural relaxation.

Structure (extended XYZ):
```
5
Lattice="-3.102 3.522 2.950 -4.492 -1.577 -2.839 -0.753 -3.107 2.918" Properties=species:S:1:pos:R:3 pbc="T T T"
Cs 0.000 0.000 0.000
V -4.173 -0.581 1.514
S -1.551 1.761 1.475
S -2.246 -0.789 -1.420
N -0.377 -1.554 1.459
```

Values from the calculation:
DOS(E_F) ... 8.744 states/eV per cell
Energy relative to the elements, uncorrected ... 2.294 eV per atom

***

[6]
DFT (PBE) results for CsWS2N after structural relaxation.

Structure (extended XYZ):
```
5
Lattice="-2.837 -1.444 -4.359 -3.847 -2.050 3.183 -1.829 3.488 0.035" Properties=species:S:1:pos:R:3 pbc="T T T"
S -1.419 -0.722 -2.179
S -1.924 -1.025 1.592
W -4.257 -0.003 -0.570
Cs 0.000 0.000 0.000
N -0.914 1.744 0.018
```

Values from the calculation:
DOS(E_F) ... 8.553 states/eV per cell
Energy relative to the elements, uncorrected ... 3.018 eV per atom
Energy relative to the lowest polymorph listed for this composition ... 3.256 eV/atom

***

[7]
DFT (PBE) results for CsWS2N after structural relaxation.

Structure (extended XYZ):
```
5
Lattice="-2.990 -2.172 -3.345 3.800 -2.822 -1.564 -0.969 -2.790 2.678" Properties=species:S:1:pos:R:3 pbc="T T T"
N -0.485 -1.395 1.339
S 1.900 -1.411 -0.782
S -1.495 -1.086 -1.673
W 0.000 0.000 0.000
Cs -0.080 -3.892 -1.116
```

Values from the calculation:
DOS(E_F) ... 2.922 states/eV per cell
Energy relative to the elements, uncorrected ... -0.238 eV per atom
Energy relative to the lowest polymorph listed for this composition ... 0.000 eV/atom

***

[8]
DFT (PBE) results for CsYS2N after structural relaxation.

Structure (extended XYZ):
```
5
Lattice="5.485 0.000 0.000 0.000 5.485 0.000 0.000 0.000 4.338" Properties=species:S:1:pos:R:3 pbc="T T T"
S 0.000 2.743 0.000
S 2.743 0.000 0.000
Y 2.743 2.743 2.169
N 0.000 0.000 2.169
Cs 0.000 0.000 0.000
```

Values from the calculation:
DOS(E_F) ... 5.809 states/eV per cell
Energy relative to the elements, uncorrected ... 1.040 eV per atom
Energy relative to the lowest polymorph listed for this composition ... 1.531 eV/atom

***

[9]
DFT (PBE) results for CsYS2N after structural relaxation.

Structure (extended XYZ):
```
5
Lattice="-3.688 3.919 0.656 -3.950 -3.519 -1.186 -0.386 -1.150 4.698" Properties=species:S:1:pos:R:3 pbc="T T T"
Y 0.000 0.000 0.000
S -1.844 1.960 0.328
S -1.975 -1.759 -0.593
N -0.193 -0.575 2.349
Cs -4.012 -0.375 2.084
```

Values from the calculation:
DOS(E_F) ... 2.937 states/eV per cell
Energy relative to the elements, uncorrected ... -0.491 eV per atom
Energy relative to the lowest polymorph listed for this composition ... 0.000 eV/atom

***

[10]
DFT (PBE) results for CsZnSN2 after structural relaxation.

Structure (extended XYZ):
```
5
Lattice="4.366 0.000 0.000 0.000 4.366 0.000 0.000 0.000 6.998" Properties=species:S:1:pos:R:3 pbc="T T T"
N 0.000 2.183 0.000
N 2.183 0.000 0.000
Cs 0.000 0.000 0.000
Zn 2.183 2.183 3.499
S 0.000 0.000 3.499
```

Values from the calculation:
DOS(E_F) ... 3.587 states/eV per cell
Energy relative to the elements, uncorrected ... 2.341 eV per atom

***

[11]
DFT (PBE) results for CsZrS2N after structural relaxation.

Structure (extended XYZ):
```
5
Lattice="-1.282 -4.107 -2.921 5.037 -1.142 -0.604 -0.141 -2.551 3.648" Properties=species:S:1:pos:R:3 pbc="T T T"
S 2.518 -0.571 -0.302
S -0.641 -2.053 -1.460
Zr 0.000 0.000 0.000
Cs 1.807 -3.900 0.061
N -0.070 -1.275 1.824
```

Values from the calculation:
DOS(E_F) ... 2.342 states/eV per cell
Energy relative to the elements, uncorrected ... -0.625 eV per atom
Energy relative to the lowest polymorph listed for this composition ... 0.000 eV/atom

***

[12]
DFT (PBE) results for CsZrS2N after structural relaxation.

Structure (extended XYZ):
```
5
Lattice="5.410 0.000 0.000 0.000 4.138 0.000 0.000 0.000 5.410" Properties=species:S:1:pos:R:3 pbc="T T T"
Zr 2.705 2.069 2.705
N 0.000 2.069 0.000
S 2.705 0.000 0.000
S 0.000 0.000 2.705
Cs 0.000 0.000 0.000
```

Values from the calculation:
DOS(E_F) ... 5.512 states/eV per cell
Energy relative to the elements, uncorrected ... 1.681 eV per atom
Energy relative to the lowest polymorph listed for this composition ... 2.307 eV/atom

***

[13]
DFT (PBE) results for CsZrSN2 after structural relaxation.

Structure (extended XYZ):
```
5
Lattice="4.195 0.000 0.000 0.000 4.195 0.000 0.000 0.000 5.882" Properties=species:S:1:pos:R:3 pbc="T T T"
Cs 0.000 0.000 0.000
N 2.098 0.000 0.000
N 0.000 2.098 0.000
S 0.000 0.000 2.941
Zr 2.098 2.098 2.941
```

Values from the calculation:
DOS(E_F) ... 3.744 states/eV per cell
Energy relative to the elements, uncorrected ... 1.993 eV per atom

***

[14]
DFT (PBE) results for CsSb2N after structural relaxation.

Structure (extended XYZ):
```
8
Lattice="8.865 0.000 0.000 0.000 4.485 0.000 -2.296 0.000 7.415" Properties=species:S:1:pos:R:3 pbc="T T T"
Sb 1.744 0.000 6.547
Sb 3.947 0.000 4.521
Sb 2.892 2.243 2.840
Sb 5.095 2.243 0.814
Cs -1.820 2.243 6.796
Cs -0.672 0.000 3.088
N 1.078 2.243 2.277
N -0.070 0.000 5.984
```

Values from the calculation:
DOS(E_F) ... 6.585 states/eV per cell
Energy relative to the elements, uncorrected ... 0.304 eV per atom
Energy relative to the lowest polymorph listed for this composition ... 0.193 eV/atom

***

[15]
DFT (PBE) results for CsSb2N after structural relaxation.

Structure (extended XYZ):
```
8
Lattice="7.092 0.000 -0.004 0.000 3.655 0.000 -4.215 0.000 10.393" Properties=species:S:1:pos:R:3 pbc="T T T"
Sb 1.154 1.827 2.403
Sb -0.397 0.000 4.656
Sb -2.504 1.827 9.853
Sb -0.954 0.000 7.600
Cs 5.030 0.000 1.087
Cs 2.922 1.827 6.284
N -0.780 1.827 3.447
N -2.887 0.000 8.643
```

Values from the calculation:
DOS(E_F) ... 0.366 states/eV per cell
Energy relative to the elements, uncorrected ... 0.216 eV per atom
Energy relative to the lowest polymorph listed for this composition ... 0.104 eV/atom

***

[16]
DFT (PBE) results for CsSb2N after structural relaxation.

Structure (extended XYZ):
```
8
Lattice="-5.561 -1.106 1.316 -1.835 -1.136 -8.708 1.276 -5.829 0.492" Properties=species:S:1:pos:R:3 pbc="T T T"
N -3.572 -1.694 -3.648
N -2.017 -4.040 0.952
Sb -3.323 -5.585 -5.863
Sb -3.818 -2.582 -5.431
Sb -2.263 -4.929 -0.831
Sb -3.043 -2.103 -1.755
Cs 0.185 -5.607 -3.929
Cs 0.465 -2.125 0.179
```

Values from the calculation:
DOS(E_F) ... 2.691 states/eV per cell
Energy relative to the elements, uncorrected ... 0.185 eV per atom
Energy relative to the lowest polymorph listed for this composition ... 0.074 eV/atom

***

[17]
DFT (PBE) results for CsSb2N after structural relaxation.

Structure (extended XYZ):
```
8
Lattice="-5.277 -0.480 -0.467 0.323 -0.377 -3.257 1.124 -14.043 1.737" Properties=species:S:1:pos:R:3 pbc="T T T"
N 0.869 -9.026 -0.535
N -2.493 -2.057 -0.009
Sb 0.516 -4.618 -1.081
Sb -2.232 -3.495 -1.483
Sb 0.807 -10.087 1.248
Sb -1.722 -11.691 1.183
Cs -2.048 -7.619 0.679
Cs 0.190 -0.546 -1.585
```

Values from the calculation:
DOS(E_F) ... 2.306 states/eV per cell
Energy relative to the elements, uncorrected ... 0.141 eV per atom
Energy relative to the lowest polymorph listed for this composition ... 0.030 eV/atom

***

[18]
DFT (PBE) results for Cs2SbN2 after structural relaxation.

Structure (extended XYZ):
```
10
Lattice="6.873 0.000 0.000 0.000 6.873 0.000 0.000 0.000 5.546" Properties=species:S:1:pos:R:3 pbc="T T T"
N 5.441 4.868 0.000
N 4.868 1.432 0.000
N 2.004 5.441 0.000
N 1.432 2.004 0.000
Sb 3.436 3.436 0.000
Sb 0.000 0.000 0.000
Cs 1.177 4.614 2.773
Cs 4.614 5.695 2.773
Cs 5.695 2.259 2.773
Cs 2.259 1.177 2.773
```

Values from the calculation:
DOS(E_F) ... 5.233 states/eV per cell
Energy relative to the elements, uncorrected ... 0.999 eV per atom

***

[19]
DFT (PBE) results for CsSb2N after structural relaxation.

Structure (extended XYZ):
```
8
Lattice="6.526 0.000 0.000 0.000 6.526 0.000 3.263 3.263 6.416" Properties=species:S:1:pos:R:3 pbc="T T T"
Cs 6.526 3.263 3.208
Cs 0.000 0.000 0.000
Sb 8.158 6.526 4.812
Sb 4.895 6.526 4.812
Sb 3.263 1.632 1.604
Sb 3.263 4.895 1.604
N 3.263 6.526 3.208
N 3.263 3.263 0.000
```

Values from the calculation:
DOS(E_F) ... 9.619 states/eV per cell
Energy relative to the elements, uncorrected ... 0.487 eV per atom
Energy relative to the lowest polymorph listed for this composition ... 0.376 eV/atom

***

[20]
DFT (PBE) results for Cs2SbN after structural relaxation.

Structure (extended XYZ):
```
8
Lattice="-6.592 6.592 2.153 6.592 -6.592 2.153 6.592 6.592 -2.153" Properties=species:S:1:pos:R:3 pbc="T T T"
Cs -0.529 3.296 1.615
Cs 3.296 0.529 2.691
Cs 7.121 3.296 -0.538
Cs 3.296 6.063 0.538
N 0.000 0.000 2.153
N 0.000 6.592 1.076
Sb 0.000 0.000 0.000
Sb 6.592 0.000 1.076
```

Values from the calculation:
DOS(E_F) ... 8.612 states/eV per cell
Energy relative to the elements, uncorrected ... 0.259 eV per atom